Below is an optimized crystal structure of EuHoFe4, with properties calculated at the GGA-PBE level.

Properties
As for the magnetization: 1.615 μB/cell. The energy relative to the elements is 0.068 eV/atom. As for the total DFT energy (no corrections): -193.18 eV/cell. The calculated density is 9.29 g/cm³.

CIF file:
```
data_EuHoFe4
_chemical_formula_sum 'Eu4 Ho4 Fe16'
_cell_length_a 7.284
_cell_length_b 7.284
_cell_length_c 7.284
_cell_angle_alpha 90.00
_cell_angle_beta 90.00
_cell_angle_gamma 90.00
_space_group_name_H-M_alt 'F -4 3 m'
_space_group_IT_number 216
_space_group_name_Hall 'F -4 2 3'
loop_
_atom_site_label
_atom_site_fract_x
_atom_site_fract_y
_atom_site_fract_z
_atom_site_occupancy
Eu1 0.000 0.000 0.000 1
Ho1 0.250 0.250 0.250 1
Fe1 0.124 0.124 0.624 1
```